Entry 1:
A relaxed structure of Pm3Si2Sn2, computed with PBE.

The value obtained for the calculated total energy is -37.7 eV per formula unit. As for the spin magnetization: 0.0 Bohr magnetons per cell.

Cell lengths 4.3013, 4.4568, 18.6898 Å; angles 90.00, 90.00, 90.00 degrees
Last column: nearest neighbours and their distance in Å.
Space group Immm (No. 71)
Symmetry-distinct sites (fractional):
Pm (0.0000, 0.0000, 0.0000) [2 per cell]  8 Si 3.31, 4 Sn 3.61
Pm (0.0000, 0.5000, 0.3233) [4 per cell]  2 Si 3.09, 5 Sn 3.13-3.21
Si (0.0000, 0.0000, 0.4382) [4 per cell]  1 Si 2.31
Sn (0.0000, 0.5000, 0.1517) [4 per cell]  2 Si 2.73

Entry 2:
A relaxed structure of Ce2HgGeIr, computed with PBE.

The calculated formation energy comes out at -550 meV/atom. As for the spin magnetization: 2.3 Bohr magnetons per cell.

Cell lengths 7.3614, 4.3866, 8.2841 Å; angles 90.00, 113.16, 90.00 degrees
Last column: nearest neighbours and their distance in Å.
Space group P2_1/m (No. 11)
Symmetry-distinct sites (fractional):
Ce (0.1877, 0.2500, 0.3484) [2 per cell]  2 Ir 3.01, 3 Ge 3.07-3.17, 3 Hg 3.30-3.31
Ce (0.2917, 0.2500, 0.9673) [2 per cell]  3 Ir 2.86-2.89
Hg (0.2693, 0.7500, 0.6676) [2 per cell]  2 Ge 2.85
Ge (0.4675, 0.7500, 0.2900) [2 per cell]  1 Ir 2.49
Ir (0.1153, 0.7500, 0.0818) [2 per cell]  1 Ge 2.49, 2 Ir 2.78